Entry 1:
# BaAsPb2, optimized geometry, DFT PBE
# Spin magnetization ... 0.000 μB per cell
# DOS(E_F) ... 3.00 states/eV/cell
# Formation enthalpy at 0 K ... -23.6 kJ/mol of atoms
data_BaAsPb2
_chemical_formula_sum 'Ba1 As1 Pb2'
_symmetry_space_group_name_H-M 'P 1'
_symmetry_Int_Tables_number 1
_symmetry_space_group_name_Hall 'P 1'
_cell_length_a 5.6496
_cell_length_b 5.6496
_cell_length_c 5.6496
_cell_angle_alpha 60.00
_cell_angle_beta 60.00
_cell_angle_gamma 60.00
loop_
_atom_site_label
_atom_site_type_symbol
_atom_site_fract_x
_atom_site_fract_y
_atom_site_fract_z
Pb1 Pb 0.0000 0.0000 0.0000
Pb2 Pb 0.2500 0.2500 0.2500
As1 As 0.5000 0.5000 0.5000
Ba1 Ba 0.7500 0.7500 0.7500

Entry 2:
# BaAsPb2, optimized geometry, DFT PBE
# Spin magnetization ... 0.000 μB per cell
# DOS(E_F) ... 1.89 states/eV/cell
# Formation enthalpy at 0 K ... -38.4 kJ/mol of atoms
data_BaAsPb2
_chemical_formula_sum 'Ba1 As1 Pb2'
_symmetry_space_group_name_H-M 'P 1'
_symmetry_Int_Tables_number 1
_symmetry_space_group_name_Hall 'P 1'
_cell_length_a 6.7828
_cell_length_b 6.7828
_cell_length_c 6.7828
_cell_angle_alpha 145.47
_cell_angle_beta 132.80
_cell_angle_gamma 59.78
loop_
_atom_site_label
_atom_site_type_symbol
_atom_site_fract_x
_atom_site_fract_y
_atom_site_fract_z
Pb1 Pb 0.9552 0.9552 0.0000
Pb2 Pb 0.5448 0.5448 0.0000
As1 As 0.7500 0.2500 0.5000
Ba1 Ba 0.2500 0.7500 0.5000

Entry 3:
# BaAsPb2, optimized geometry, DFT PBE
# Spin magnetization ... 0.000 μB per cell
# DOS(E_F) ... 1.51 states/eV/cell
# Formation enthalpy at 0 K ... -33.2 kJ/mol of atoms
data_BaAsPb2
_chemical_formula_sum 'Ba1 As1 Pb2'
_symmetry_space_group_name_H-M 'P 1'
_symmetry_Int_Tables_number 1
_symmetry_space_group_name_Hall 'P 1'
_cell_length_a 4.2751
_cell_length_b 4.2751
_cell_length_c 7.1437
_cell_angle_alpha 90.00
_cell_angle_beta 90.00
_cell_angle_gamma 90.00
loop_
_atom_site_label
_atom_site_type_symbol
_atom_site_fract_x
_atom_site_fract_y
_atom_site_fract_z
Pb1 Pb 0.0000 0.0000 0.0526
Pb2 Pb 0.5000 0.5000 0.2640
As1 As 0.0000 0.0000 0.4538
Ba1 Ba 0.5000 0.5000 0.7295

Entry 4:
# Ba4AsPb, optimized geometry, DFT PBE
# Spin magnetization ... 0.000 μB per cell
# DOS(E_F) ... 5.92 states/eV/cell
# Formation enthalpy at 0 K ... 18.6 kJ/mol of atoms
data_Ba4AsPb
_chemical_formula_sum 'Ba4 As1 Pb1'
_symmetry_space_group_name_H-M 'P 1'
_symmetry_Int_Tables_number 1
_symmetry_space_group_name_Hall 'P 1'
_cell_length_a 7.0585
_cell_length_b 7.0585
_cell_length_c 7.0585
_cell_angle_alpha 60.00
_cell_angle_beta 60.00
_cell_angle_gamma 60.00
loop_
_atom_site_label
_atom_site_type_symbol
_atom_site_fract_x
_atom_site_fract_y
_atom_site_fract_z
Ba1 Ba 0.8774 0.3742 0.3742
Ba2 Ba 0.3742 0.3742 0.8774
Ba3 Ba 0.3742 0.8774 0.3742
Ba4 Ba 0.3742 0.3742 0.3742
As1 As 0.0000 0.0000 0.0000
Pb1 Pb 0.7500 0.7500 0.7500

Entry 5:
# BaAsPb2, optimized geometry, DFT PBE
# Spin magnetization ... 0.000 μB per cell
# DOS(E_F) ... 2.32 states/eV/cell
# Formation enthalpy at 0 K ... -34.1 kJ/mol of atoms
data_BaAsPb2
_chemical_formula_sum 'Ba1 As1 Pb2'
_symmetry_space_group_name_H-M 'P 1'
_symmetry_Int_Tables_number 1
_symmetry_space_group_name_Hall 'P 1'
_cell_length_a 4.8231
_cell_length_b 4.8775
_cell_length_c 5.2796
_cell_angle_alpha 90.00
_cell_angle_beta 90.00
_cell_angle_gamma 90.00
loop_
_atom_site_label
_atom_site_type_symbol
_atom_site_fract_x
_atom_site_fract_y
_atom_site_fract_z
Pb1 Pb 0.0000 0.0000 0.0000
Pb2 Pb 0.5000 0.5000 0.0000
As1 As 0.5000 0.0000 0.5000
Ba1 Ba 0.0000 0.5000 0.5000

Entry 6:
# Ba2AsPb, optimized geometry, DFT PBE
# Spin magnetization ... 0.000 μB per cell
# DOS(E_F) ... 1.97 states/eV/cell
# Relative energy among the computed polymorphs ... 0.366 eV per formula unit
# Formation enthalpy at 0 K ... -58.6 kJ/mol of atoms
data_Ba2AsPb
_chemical_formula_sum 'Ba2 As1 Pb1'
_symmetry_space_group_name_H-M 'P 1'
_symmetry_Int_Tables_number 1
_symmetry_space_group_name_Hall 'P 1'
_cell_length_a 6.1452
_cell_length_b 6.1452
_cell_length_c 6.1452
_cell_angle_alpha 127.35
_cell_angle_beta 127.39
_cell_angle_gamma 77.65
loop_
_atom_site_label
_atom_site_type_symbol
_atom_site_fract_x
_atom_site_fract_y
_atom_site_fract_z
Pb1 Pb 0.7500 0.2500 0.5000
As1 As 0.2500 0.7500 0.5000
Ba1 Ba 0.0000 0.0000 0.0000
Ba2 Ba 0.5000 0.5000 0.0000

Entry 7:
# Ba2AsPb, optimized geometry, DFT PBE
# Spin magnetization ... 0.000 μB per cell
# DOS(E_F) ... 3.62 states/eV/cell
# Relative energy among the computed polymorphs ... 0.586 eV per formula unit
# Formation enthalpy at 0 K ... -53.3 kJ/mol of atoms
data_Ba2AsPb
_chemical_formula_sum 'Ba2 As1 Pb1'
_symmetry_space_group_name_H-M 'P 1'
_symmetry_Int_Tables_number 1
_symmetry_space_group_name_Hall 'P 1'
_cell_length_a 5.9141
_cell_length_b 5.9141
_cell_length_c 5.9141
_cell_angle_alpha 60.00
_cell_angle_beta 60.00
_cell_angle_gamma 60.00
loop_
_atom_site_label
_atom_site_type_symbol
_atom_site_fract_x
_atom_site_fract_y
_atom_site_fract_z
Pb1 Pb 0.5000 0.5000 0.5000
As1 As 0.0000 0.0000 0.0000
Ba1 Ba 0.2500 0.2500 0.2500
Ba2 Ba 0.7500 0.7500 0.7500

Entry 8:
# BaAsPb2, optimized geometry, DFT PBE
# Spin magnetization ... 0.000 μB per cell
# DOS(E_F) ... 2.29 states/eV/cell
# Formation enthalpy at 0 K ... -29.5 kJ/mol of atoms
data_BaAsPb2
_chemical_formula_sum 'Ba1 As1 Pb2'
_symmetry_space_group_name_H-M 'P 1'
_symmetry_Int_Tables_number 1
_symmetry_space_group_name_Hall 'P 1'
_cell_length_a 6.0225
_cell_length_b 6.0225
_cell_length_c 6.0225
_cell_angle_alpha 130.06
_cell_angle_beta 130.06
_cell_angle_gamma 73.31
loop_
_atom_site_label
_atom_site_type_symbol
_atom_site_fract_x
_atom_site_fract_y
_atom_site_fract_z
Pb1 Pb 0.0000 0.0000 0.0000
Pb2 Pb 0.2500 0.7500 0.5000
As1 As 0.5000 0.5000 0.0000
Ba1 Ba 0.7500 0.2500 0.5000

Entry 9:
# Ba2AsPb, optimized geometry, DFT PBE
# Spin magnetization ... 0.000 μB per cell
# DOS(E_F) ... 1.95 states/eV/cell
# Relative energy among the computed polymorphs ... 0.000 eV per formula unit
# Formation enthalpy at 0 K ... -67.4 kJ/mol of atoms
data_Ba2AsPb
_chemical_formula_sum 'Ba2 As1 Pb1'
_symmetry_space_group_name_H-M 'P 1'
_symmetry_Int_Tables_number 1
_symmetry_space_group_name_Hall 'P 1'
_cell_length_a 4.2414
_cell_length_b 4.2574
_cell_length_c 9.0245
_cell_angle_alpha 61.82
_cell_angle_beta 90.00
_cell_angle_gamma 90.00
loop_
_atom_site_label
_atom_site_type_symbol
_atom_site_fract_x
_atom_site_fract_y
_atom_site_fract_z
Pb1 Pb 0.5000 0.2500 0.2500
As1 As 0.5000 0.7500 0.7500
Ba1 Ba 0.0000 0.0354 0.9646
Ba2 Ba 0.0000 0.4646 0.5354

Entry 10:
# BaAs2Pb4, optimized geometry, DFT PBE
# Spin magnetization ... 0.000 μB per cell
# DOS(E_F) ... 3.04 states/eV/cell
# Formation enthalpy at 0 K ... -27.2 kJ/mol of atoms
data_BaAs2Pb4
_chemical_formula_sum 'Ba1 As2 Pb4'
_symmetry_space_group_name_H-M 'P 1'
_symmetry_Int_Tables_number 1
_symmetry_space_group_name_Hall 'P 1'
_cell_length_a 4.3158
_cell_length_b 4.3087
_cell_length_c 14.9252
_cell_angle_alpha 98.27
_cell_angle_beta 90.00
_cell_angle_gamma 59.95
loop_
_atom_site_label
_atom_site_type_symbol
_atom_site_fract_x
_atom_site_fract_y
_atom_site_fract_z
Pb1 Pb 0.4146 0.1708 0.7545
Pb2 Pb 0.1436 0.7128 0.5699
Pb3 Pb 0.5854 0.8292 0.2455
Pb4 Pb 0.8564 0.2872 0.4301
As1 As 0.7149 0.5702 0.8543
As2 As 0.2851 0.4298 0.1457
Ba1 Ba 0.0000 0.0000 0.0000

Entry 11:
# BaAsPb2, optimized geometry, DFT PBE
# Spin magnetization ... 0.000 μB per cell
# DOS(E_F) ... 1.51 states/eV/cell
# Formation enthalpy at 0 K ... -39.3 kJ/mol of atoms
data_BaAsPb2
_chemical_formula_sum 'Ba1 As1 Pb2'
_symmetry_space_group_name_H-M 'P 1'
_symmetry_Int_Tables_number 1
_symmetry_space_group_name_Hall 'P 1'
_cell_length_a 5.9587
_cell_length_b 5.9587
_cell_length_c 6.1555
_cell_angle_alpha 68.86
_cell_angle_beta 68.86
_cell_angle_gamma 42.11
loop_
_atom_site_label
_atom_site_type_symbol
_atom_site_fract_x
_atom_site_fract_y
_atom_site_fract_z
Pb1 Pb 0.0088 0.0088 0.9242
Pb2 Pb 0.7709 0.7709 0.7129
As1 As 0.4955 0.4955 0.6073
Ba1 Ba 0.2248 0.2248 0.2556

Entry 12:
# Ba2AsPb, optimized geometry, DFT PBE
# Spin magnetization ... 0.000 μB per cell
# DOS(E_F) ... 2.47 states/eV/cell
# Relative energy among the computed polymorphs ... 0.306 eV per formula unit
# Formation enthalpy at 0 K ... -60.0 kJ/mol of atoms
data_Ba2AsPb
_chemical_formula_sum 'Ba2 As1 Pb1'
_symmetry_space_group_name_H-M 'P 1'
_symmetry_Int_Tables_number 1
_symmetry_space_group_name_Hall 'P 1'
_cell_length_a 5.5130
_cell_length_b 5.5130
_cell_length_c 4.6815
_cell_angle_alpha 90.04
_cell_angle_beta 90.04
_cell_angle_gamma 90.06
loop_
_atom_site_label
_atom_site_type_symbol
_atom_site_fract_x
_atom_site_fract_y
_atom_site_fract_z
Pb1 Pb 0.5000 0.0000 0.5000
As1 As 0.0000 0.5000 0.5000
Ba1 Ba 0.0000 0.0000 0.0000
Ba2 Ba 0.5000 0.5000 0.0000

no.,final energy (eV/atom)
1,-3.742
2,-3.895
3,-3.842
4,-2.482
5,-3.851
6,-3.658
7,-3.603
8,-3.802
9,-3.750
10,-4.004
11,-3.904
12,-3.673